# 1
An optimized crystal structure of PmSmGaPt. Source: the Alexandria database, functional PBE.

abc: 4.4088 3.9983 11.1429
angles: 90.00 90.00 90.00
With the nearest neighbours (Å) after each atom.
Space group Amm2 (No. 38)
One atom of each set of equivalent atoms:
Pm 0.0000 0.0000 0.0000  4 Ga 3.08, 3 Pt 3.11-3.17
Sm 0.5000 0.0000 0.2832  4 Pt 3.06, 3 Ga 3.11-3.19
Ga 0.5000 0.0000 0.5699  2 Pt 2.77, 4 Pm 3.08, 2 Sm 3.11
Pt 0.0000 0.0000 0.7209  2 Ga 2.77, 4 Sm 3.06

## Properties
- Total energy: -44.0 eV per cell
- DOS(E_F): 8.10 states/eV/cell
- Energy of formation: -0.87 eV/atom
- Energy relative to the lowest polymorph listed for this composition: 0.0 meV/atom

***

# 2
An optimized crystal structure of Mg3Mo5. Source: the Alexandria database, functional PBE.

abc: 8.1941 8.1941 4.8241
angles: 90.00 90.00 120.00
With the nearest neighbours (Å) after each atom.
Space group P6_3/mcm (No. 193)
One atom of each set of equivalent atoms:
Mg 0.0000 0.4022 0.2500  8 Mo 2.77-2.98, 2 Mg 2.90
Mo 0.0000 0.1895 0.7500  6 Mo 2.69-2.87, 4 Mg 2.86-2.98
Mo 0.3333 0.6667 0.0000  2 Mo 2.41

## Properties
- Total energy: -108.1 eV per cell
- DOS(E_F): 11.48 states/eV/cell
- Energy of formation: 0.61 eV/atom
- Energy relative to the lowest polymorph listed for this composition: 279.6 meV/atom

***

# 3
An optimized crystal structure of AcLaPr5Sm2. Source: the Alexandria database, functional PBE.

abc: 9.0483 9.0483 16.2952
angles: 90.00 90.00 90.00
With the nearest neighbours (Å) after each atom.
Space group I4/mcm (No. 140)
One atom of each set of equivalent atoms:
Ac 0.0000 0.0000 0.2500  10 Pr 3.80-4.07
La 0.0000 0.5000 0.2500  4 Pr 3.18
Pr 0.0000 0.0000 0.0000  4 Sm 3.61, 8 Pr 3.91
Pr 0.1967 0.3033 0.1312  1 La 3.18, 1 Sm 3.18
Sm 0.1191 0.3809 0.5000  1 Sm 3.05, 2 Pr 3.18

## Properties
- Total energy: -161.5 eV per cell
- DOS(E_F): 56.38 states/eV/cell
- Energy of formation: 0.22 eV/atom

***

# 4
An optimized crystal structure of Li4EuIn. Source: the Alexandria database, functional PBE.

abc: 8.0214 8.0214 8.0214
angles: 90.00 90.00 90.00
With the nearest neighbours (Å) after each atom.
Space group F-43m (No. 216)
One atom of each set of equivalent atoms:
Li 0.1226 0.1226 0.3774  6 Li 2.78-2.89
Eu 0.0000 0.0000 0.0000  12 Li 3.33, 4 In 3.47
In 0.2500 0.2500 0.7500  12 Li 3.32, 4 Eu 3.47

## Properties
- Total energy: -86.6 eV per cell
- DOS(E_F): 53.59 states/eV/cell
- Energy of formation: -0.16 eV/atom

***

# 5
An optimized crystal structure of KAs2RhSe. Source: the Alexandria database, functional PBE.

abc: 4.7376 4.7376 5.6639
angles: 90.00 90.00 90.00
With the nearest neighbours (Å) after each atom.
Space group P4/mmm (No. 123)
One atom of each set of equivalent atoms:
K 0.0000 0.0000 0.0000  4 Se 3.35, 8 As 3.69
As 0.0000 0.5000 0.5000  2 Rh 2.37
Rh 0.5000 0.5000 0.5000  4 As 2.37
Se 0.5000 0.5000 0.0000  2 Rh 2.83

## Properties
- ΔE_f (raw): -0.0612 eV/atom
- Total energy: -21.5 eV per cell
- DOS(E_F): 1.94 states/eV/cell
- Energy relative to the lowest polymorph listed for this composition: 0.0 meV/atom

***

# 6
An optimized crystal structure of KRu2Pt. Source: the Alexandria database, functional PBE.

abc: 6.5679 6.5679 6.5679
angles: 90.00 90.00 90.00
With the nearest neighbours (Å) after each atom.
Space group Fm-3m (No. 225)
One atom of each set of equivalent atoms:
K 0.0000 0.0000 0.0000  8 Ru 2.84
Ru 0.2500 0.2500 0.2500  4 K 2.84, 4 Pt 2.84
Pt 0.0000 0.0000 0.5000  8 Ru 2.84

## Properties
- Total energy: -82.8 eV per cell
- DOS(E_F): 15.46 states/eV/cell
- Energy of formation: 1.25 eV/atom
- Energy relative to the lowest polymorph listed for this composition: 809.3 meV/atom

***

# 7
An optimized crystal structure of YGa2RuRh. Source: the Alexandria database, functional PBE.

abc: 4.3637 4.3637 9.5572
angles: 90.00 90.00 90.00
With the nearest neighbours (Å) after each atom.
Space group I-4m2 (No. 119)
One atom of each set of equivalent atoms:
Y 0.0000 0.0000 0.0000  4 Ru 3.24, 4 Rh 3.24, 10 Ga 3.33-3.52
Ga 0.0000 0.0000 0.3678  2 Ru 2.46, 2 Rh 2.46, 1 Ga 2.53
Ru 0.0000 0.5000 0.2500  4 Ga 2.46
Rh 0.0000 0.5000 0.7500  4 Ga 2.46

## Properties
- Total energy: -64.6 eV per cell
- DOS(E_F): 2.27 states/eV/cell
- Energy of formation: -0.63 eV/atom

***

# 8
An optimized crystal structure of LaTbSn2. Source: the Alexandria database, functional PBE.

abc: 3.5349 3.5349 9.0464
angles: 90.00 90.00 90.00
With the nearest neighbours (Å) after each atom.
Space group P4/mmm (No. 123)
One atom of each set of equivalent atoms:
La 0.0000 0.0000 0.0000  8 Sn 3.44, 4 La 3.53
Tb 0.0000 0.0000 0.5000  8 Sn 3.31, 4 Tb 3.53
Sn 0.5000 0.5000 0.2607  4 Tb 3.31, 4 La 3.44, 4 Sn 3.53

## Properties
- Total energy: -20.3 eV per cell
- DOS(E_F): 3.55 states/eV/cell
- Energy of formation: -0.69 eV/atom

***

# 9
An optimized crystal structure of BaMg2Tl9. Source: the Alexandria database, functional PBE.

abc: 10.5454 10.5454 3.7719
angles: 90.00 90.00 120.00
With the nearest neighbours (Å) after each atom.
Space group P6/mmm (No. 191)
One atom of each set of equivalent atoms:
Ba 0.0000 0.0000 0.0000  2 Ba 3.77, 12 Tl 3.88
Mg 0.3333 0.6667 0.0000  9 Tl 3.04-3.29
Tl 0.0000 0.5000 0.0000  2 Mg 3.04
Tl 0.1856 0.3711 0.5000  2 Mg 3.29, 6 Tl 3.39-3.45

## Properties
- Total energy: -27.3 eV per cell
- DOS(E_F): 8.82 states/eV/cell
- Energy of formation: -0.07 eV/atom
- Energy relative to the lowest polymorph listed for this composition: 27.5 meV/atom

***

# 10
An optimized crystal structure of Mg2NpAuO8. Source: the Alexandria database, functional PBE.

abc: 4.8132 6.3664 4.8213
angles: 90.00 93.61 90.00
With the nearest neighbours (Å) after each atom.
Space group P2/m (No. 10)
One atom of each set of equivalent atoms:
Mg 0.0000 0.2392 0.0000  6 O 2.00-2.17
Np 0.5000 0.5000 0.5000  6 O 1.96-2.10
Au 0.5000 0.0000 0.5000  6 O 2.00-2.07
O 0.1985 0.0000 0.1960  1 Au 2.00, 2 Mg 2.00
O 0.2043 0.5000 0.2025  1 Np 1.96, 2 Mg 2.13
O 0.3074 0.2472 0.6900  1 Au 2.07, 1 Np 2.10, 1 Mg 2.17

## Properties
- ΔE_f (raw): -1.6981 eV/atom
- Total energy: -79.5 eV per cell
- DOS(E_F): 5.34 states/eV/cell

***

# 11
An optimized crystal structure of NaThSc. Source: the Alexandria database, functional PBE.

abc: 3.9377 3.9377 12.6407
angles: 90.00 90.00 90.00
With the nearest neighbours (Å) after each atom.
Space group P4/nmm (No. 129, origin choice 2)
One atom of each set of equivalent atoms:
Na 0.2500 0.2500 0.0801  4 Na 3.44, 4 Th 3.78
Th 0.2500 0.2500 0.7171  4 Sc 3.38
Sc 0.2500 0.7500 0.5000  4 Sc 2.78

## Properties
- Total energy: -26.8 eV per cell
- DOS(E_F): 7.61 states/eV/cell
- Energy of formation: 0.56 eV/atom

***

# 12
An optimized crystal structure of Co2BMo. Source: the Alexandria database, functional PBE.

abc: 3.3293 3.3293 16.2660
angles: 90.00 90.00 90.00
With the nearest neighbours (Å) after each atom.
Space group I-42d (No. 122)
One atom of each set of equivalent atoms:
Co 0.2163 0.2500 0.1250  2 Co 2.20, 2 B 2.31, 2 Mo 2.39
B 0.0000 0.0000 0.0000  4 Co 2.31, 4 Mo 2.35
Mo 0.0000 0.0000 0.5000  4 B 2.35, 4 Co 2.39

## Properties
- Total energy: -121.8 eV per cell
- DOS(E_F): 17.62 states/eV/cell
- Energy of formation: 0.32 eV/atom